AgGe2Pb3O8 (PBE-GGA, relaxed); final energy = -5.6022 eV/atom; SG = P-3m1
1.0
5.790 0.000 0.000
-2.895 5.014 0.000
0.000 0.000 7.475
Ag Ge Pb O
1 2 3 8
Direct
0.000 0.000 0.000
0.333 0.667 0.706
0.667 0.333 0.294
0.000 0.000 0.500
0.333 0.667 0.181
0.667 0.333 0.819
0.165 0.331 0.782
0.165 0.835 0.782
0.331 0.165 0.218
0.333 0.667 0.471
0.667 0.333 0.529
0.669 0.835 0.782
0.835 0.165 0.218
0.835 0.669 0.218

---

AgGe2PbO6 (PBE-GGA, relaxed); final energy = -5.7535 eV/atom; SG = C2/c
1.0
5.358 -5.038 0.000
5.358 5.038 0.000
-1.784 0.000 5.509
Ag Ge Pb O
2 4 2 12
Direct
0.206 0.794 0.750
0.794 0.206 0.250
0.126 0.282 0.743
0.282 0.126 0.243
0.718 0.874 0.757
0.874 0.718 0.257
0.382 0.618 0.250
0.618 0.382 0.750
0.097 0.630 0.365
0.108 0.178 0.991
0.178 0.108 0.491
0.311 0.446 0.847
0.370 0.903 0.135
0.446 0.311 0.347
0.554 0.689 0.653
0.630 0.097 0.865
0.689 0.554 0.153
0.822 0.892 0.509
0.892 0.822 0.009
0.903 0.370 0.635

---

Ag2GePdO4 (PBE-GGA, relaxed); final energy = -4.9225 eV/atom; SG = I222
1.0
5.953 0.000 0.000
0.000 6.117 0.000
0.000 0.000 6.388
Ag Ge Pd O
4 2 2 8
Direct
0.247 0.000 0.000
0.253 0.500 0.500
0.747 0.500 0.500
0.753 0.000 0.000
0.000 0.500 0.000
0.500 0.000 0.500
0.000 0.000 0.500
0.500 0.500 0.000
0.200 0.342 0.853
0.200 0.658 0.147
0.300 0.158 0.353
0.300 0.842 0.647
0.700 0.158 0.647
0.700 0.842 0.353
0.800 0.342 0.147
0.800 0.658 0.853

---

Looking at ρ for the records above, in order, we have 7.67, 6.21, 6.55 Mg/m³.